[1]
First-principles (PBE) data for a relaxed SmPaRe crystal, as listed in the Alexandria database.

Cell: 3.512 3.512 6.219 Å, 106.40 106.40 90.00°
Fractional coordinates of all 3 atoms:
Re 0.311 0.311 0.622
Pa 0.694 0.694 0.388
Sm 0.995 0.995 0.990

[2]
First-principles (PBE) data for a relaxed SmPaRe crystal, as listed in the Alexandria database.

Cell: 4.476 4.476 8.203 Å, 105.87 105.87 90.00°
Fractional coordinates of all 6 atoms:
Pa 0.891 0.891 0.782
Pa 0.109 0.109 0.218
Sm 0.338 0.338 0.676
Sm 0.662 0.662 0.324
Re 0.500 0.000 0.000
Re 0.000 0.500 0.000

Number 1: total energy -8.830 eV per atom, formation energy 0.17 eV/f.u.. Number 2: total energy -8.682 eV per atom, formation energy 0.62 eV/f.u..